VASP calculation (GGA-PBE) on a relaxed BaP12Pd4 crystal.

```
BaP12Pd4
1.0
-4.175 4.175 4.175
4.175 -4.175 4.175
4.175 4.175 -4.175
Ba P Pd
1 12 4
Direct
0.000 0.000 0.000
0.135 0.503 0.368
0.135 0.767 0.632
0.233 0.368 0.865
0.368 0.135 0.503
0.368 0.865 0.233
0.497 0.632 0.865
0.503 0.368 0.135
0.632 0.135 0.767
0.632 0.865 0.497
0.767 0.632 0.135
0.865 0.233 0.368
0.865 0.497 0.632
0.000 0.000 0.500
0.000 0.500 0.000
0.500 0.000 0.000
0.500 0.500 0.500
```

total magnetization	0.000	μB/atom
calculated formation energy	-0.357	eV per atom
energy	-5.5106	eV/atom